(1)
YAsW2 after structural relaxation. Source: Alexandria, functional PBE-GGA.

Cell lengths 5.560, 5.560, 2.858 Å; angles 90.00, 90.00, 120.88 degrees
Element x y z (fractional)
Y: 0.000 0.000 0.000
As: 0.500 0.500 0.000
W: 0.000 0.500 0.500
W: 0.500 0.000 0.500

Symmetry   No. 65

---

(2)
YAsW2 after structural relaxation. Source: Alexandria, functional PBE-GGA.

Cell lengths 3.889, 3.889, 4.990 Å; angles 90.00, 90.00, 90.00 degrees
Element x y z (fractional)
Y: 0.000 0.000 0.000
As: 0.500 0.500 0.000
W: 0.000 0.500 0.500
W: 0.500 0.000 0.500

Symmetry   No. 123

---

(3)
YZn2AsW after structural relaxation. Source: Alexandria, functional PBE-GGA.

Cell lengths 4.752, 4.752, 4.795 Å; angles 90.00, 90.00, 90.00 degrees
Element x y z (fractional)
Y: 0.000 0.000 0.000
Zn: 0.000 0.500 0.500
Zn: 0.500 0.000 0.500
As: 0.500 0.500 0.500
W: 0.500 0.500 0.000

Symmetry   No. 123

---

DOS(E_F), record by record: 3.3 3.6 3.4 states/eV/cell
Energy of formation, record by record: 0.6500 0.2845 0.6006 eV/atom
E, record by record: -8.605 -8.971 -4.722 eV/atom